1.
First-principles (PBE-GGA) data for a relaxed structure of Fe2ReSe, as listed in Alexandria via LeMat-Bulk.

## Properties
Space group: P4/mmm, No. 123
Raw formation energy (eV/atom): 0.270

Cell and atoms, written as POSCAR:
```
Fe2ReSe
1.0
2.851 0.000 0.000
0.000 2.851 0.000
0.000 0.000 6.498
Fe Re Se
2 1 1
direct
0.000 0.000 0.243 Fe
0.000 0.000 0.757 Fe
0.500 0.500 0.500 Re
0.500 0.500 0.000 Se
```

***

2.
First-principles (PBE-GGA) data for a relaxed structure of Er2TmSi2, as listed in Alexandria via LeMat-Bulk.

## Properties
Space group: P4/mbm, No. 127
Raw formation energy (eV/atom): -0.713

Cell and atoms, written as POSCAR:
```
Er2TmSi2
1.0
7.384 0.000 0.000
0.000 7.384 0.000
0.000 0.000 4.179
Er Tm Si
4 2 4
direct
0.176 0.324 0.000 Er
0.324 0.824 0.000 Er
0.676 0.176 0.000 Er
0.824 0.676 0.000 Er
0.000 0.000 0.500 Tm
0.500 0.500 0.500 Tm
0.118 0.618 0.500 Si
0.382 0.118 0.500 Si
0.618 0.882 0.500 Si
0.882 0.382 0.500 Si
```

***

3.
First-principles (PBE-GGA) data for a relaxed structure of CaTl2Fe, as listed in Alexandria via LeMat-Bulk.

## Properties
Space group: P2/m, No. 10
E_form (eV per atom): 0.202

Cell and atoms, written as POSCAR:
```
CaTl2Fe
1.0
3.470 0.000 0.000
0.000 4.533 0.000
-1.605 0.000 6.226
Ca Tl Fe
1 2 1
direct
0.000 0.000 0.000 Ca
0.351 0.500 0.720 Tl
0.649 0.500 0.280 Tl
0.500 0.000 0.500 Fe
```

***

4.
First-principles (PBE-GGA) data for a relaxed structure of BiAuS2, as listed in Alexandria via LeMat-Bulk.

## Properties
Space group: C2/c, No. 15
Raw formation energy (eV/atom): -0.045

Cell and atoms, written as POSCAR:
```
BiAuS2
1.0
3.559 -6.642 0.000
3.559 6.642 0.000
-0.660 0.000 4.181
Bi Au S
2 2 4
direct
0.218 0.782 0.750 Bi
0.782 0.218 0.250 Bi
0.390 0.610 0.250 Au
0.610 0.390 0.750 Au
0.121 0.372 0.814 S
0.372 0.121 0.314 S
0.628 0.879 0.686 S
0.879 0.628 0.186 S
```

***

5.
First-principles (PBE-GGA) data for a relaxed structure of Hg2SbP, as listed in Alexandria via LeMat-Bulk.

## Properties
Space group: C2/m, No. 12
Polymorph energy (0 for the lowest one) (meV/atom): 162
Raw formation energy (eV/atom): 0.246

Cell and atoms, written as POSCAR:
```
Hg2SbP
1.0
7.326 -1.910 0.000
7.326 1.910 0.000
-0.156 0.000 3.845
Hg Sb P
2 1 1
direct
0.197 0.197 0.258 Hg
0.803 0.803 0.742 Hg
0.000 0.000 0.000 Sb
0.500 0.500 0.500 P
```

***

6.
First-principles (PBE-GGA) data for a relaxed structure of AcScCuO4, as listed in Alexandria via LeMat-Bulk.

## Properties
Space group: Imma, No. 74
Raw formation energy (eV/atom): -2.392

Cell and atoms, written as POSCAR:
```
AcScCuO4
1.0
-3.275 4.185 4.552
3.275 -4.185 4.552
3.275 4.185 -4.552
Ac Sc Cu O
2 2 2 8
direct
0.000 0.000 0.000 Ac
0.500 0.000 0.500 Ac
0.500 0.000 0.000 Sc
0.500 0.500 0.500 Sc
0.253 0.503 0.750 Cu
0.747 0.497 0.250 Cu
0.264 0.236 0.472 O
0.264 0.791 0.028 O
0.327 0.741 0.586 O
0.345 0.259 0.086 O
0.655 0.741 0.914 O
0.673 0.259 0.414 O
0.736 0.209 0.972 O
0.736 0.764 0.528 O
```

***

7.
First-principles (PBE-GGA) data for a relaxed structure of Th4Ir3Pd, as listed in Alexandria via LeMat-Bulk.

## Properties
Space group: Cmmm, No. 65
E_form (eV per atom): -0.941

Cell and atoms, written as POSCAR:
```
Th4Ir3Pd
1.0
4.157 -5.866 0.000
4.157 5.866 0.000
0.000 0.000 4.144
Th Ir Pd
4 3 1
direct
0.241 0.241 0.500 Th
0.246 0.754 0.000 Th
0.754 0.246 0.000 Th
0.759 0.759 0.500 Th
0.000 0.000 0.000 Ir
0.000 0.500 0.500 Ir
0.500 0.000 0.500 Ir
0.500 0.500 0.000 Pd
```

***

8.
First-principles (PBE-GGA) data for a relaxed structure of Al2CoH2, as listed in Alexandria via LeMat-Bulk.

## Properties
Space group: P4/mbm, No. 127
Polymorph energy (0 for the lowest one) (meV/atom): 92

Cell and atoms, written as POSCAR:
```
Al2CoH2
1.0
5.112 0.000 0.000
0.000 5.112 0.000
0.000 0.000 3.753
Al Co H
4 2 4
direct
0.188 0.312 0.000 Al
0.312 0.812 0.000 Al
0.688 0.188 0.000 Al
0.812 0.688 0.000 Al
0.000 0.000 0.500 Co
0.500 0.500 0.500 Co
0.238 0.262 0.500 H
0.262 0.762 0.500 H
0.738 0.238 0.500 H
0.762 0.738 0.500 H
```